A plane-wave DFT calculation with PBE was carried out for an optimized crystal structure of Sm5GaGe2.

## Properties
polymorph energy (0 for the lowest one) = 0.223 eV/atom
N(E_F) = 8.6 states/eV/f.u.
energy of formation from the pure elements = -3.23 eV per formula unit

a b c (Å): 6.822 6.822 8.765
angles (deg): 90.00 90.00 90.00
Atoms (fractional coordinates):
Sm: 0.000 0.000 0.000
Sm: 0.250 0.250 0.250
Sm: 0.250 0.250 0.750
Sm: 0.250 0.750 0.250
Sm: 0.250 0.750 0.750
Sm: 0.500 0.500 0.500
Sm: 0.750 0.250 0.250
Sm: 0.750 0.250 0.750
Sm: 0.750 0.750 0.250
Sm: 0.750 0.750 0.750
Ga: 0.000 0.000 0.500
Ga: 0.500 0.500 0.000
Ge: 0.000 0.500 0.000
Ge: 0.000 0.500 0.500
Ge: 0.500 0.000 0.000
Ge: 0.500 0.000 0.500